Entry 1:
## MgBiSe (GGA-PBE)

Data for a geometry-optimized MgBiSe structure.

Unit cell a=4.289 b=4.289 c=12.579 alpha=73.21 beta=73.21 gamma=57.87
Element x y z (fractional)
Mg (0.197, 0.197, 0.768)
Bi (0.611, 0.611, 0.221)
Bi (0.365, 0.365, 0.072)
Mg (0.483, 0.483, 0.477)
Se (0.835, 0.835, 0.838)
Se (0.768, 0.768, 0.548)

Properties
Its uncorrected formation energy is -0.6331 eV per atom. Its mass density is 5.61 g cm⁻³.

***

Entry 2:
## MgBi3Se (GGA-PBE)

Data for a geometry-optimized MgBi3Se structure.

Unit cell a=5.591 b=5.591 c=5.591 alpha=90.00 beta=90.00 gamma=90.00
Element x y z (fractional)
Se (0.000, 0.000, 0.000)
Bi (0.000, 0.000, 0.500)
Mg (0.500, 0.500, 0.500)
Bi (0.500, 0.000, 0.000)
Bi (0.000, 0.500, 0.000)

Properties
Its uncorrected formation energy is 0.4639 eV per atom. Its mass density is 6.94 g cm⁻³. The energy above the most stable polymorph in this dataset is 0.0000 eV per atom.

***

Entry 3:
## MgSn2BiSe (GGA-PBE)

Data for a geometry-optimized MgSn2BiSe structure.

Unit cell a=5.927 b=5.556 c=5.927 alpha=90.00 beta=90.00 gamma=90.00
Element x y z (fractional)
Se (0.000, 0.500, 0.000)
Sn (0.000, 0.000, 0.500)
Mg (0.500, 0.500, 0.500)
Sn (0.500, 0.000, 0.000)
Bi (0.000, 0.000, 0.000)

Properties
Its uncorrected formation energy is 0.5784 eV per atom. Its mass density is 4.68 g cm⁻³.

***

Entry 4:
## MgSiBi3 (GGA-PBE)

Data for a geometry-optimized MgSiBi3 structure.

Unit cell a=5.471 b=5.471 c=5.471 alpha=90.00 beta=90.00 gamma=90.00
Element x y z (fractional)
Bi (0.000, 0.500, 0.000)
Mg (0.000, 0.000, 0.000)
Bi (0.500, 0.000, 0.000)
Bi (0.000, 0.000, 0.500)
Si (0.500, 0.500, 0.500)

Properties
Its uncorrected formation energy is 0.8495 eV per atom. Its mass density is 6.89 g cm⁻³. The energy above the most stable polymorph in this dataset is 0.2912 eV per atom.

***

Entry 5:
## Mg2SiBi2 (GGA-PBE)

Data for a geometry-optimized Mg2SiBi2 structure.

Unit cell a=8.736 b=8.736 c=3.459 alpha=90.00 beta=90.00 gamma=90.00
Element x y z (fractional)
Si (0.000, 0.000, 0.000)
Mg (0.629, 0.871, 0.500)
Mg (0.371, 0.129, 0.500)
Mg (0.129, 0.629, 0.500)
Si (0.500, 0.500, 0.000)
Bi (0.828, 0.672, 0.000)
Bi (0.328, 0.828, 0.000)
Bi (0.672, 0.172, 0.000)
Bi (0.172, 0.328, 0.000)
Mg (0.871, 0.371, 0.500)

Properties
Its uncorrected formation energy is 0.2287 eV per atom. Its mass density is 6.22 g cm⁻³. The energy above the most stable polymorph in this dataset is 0.0626 eV per atom.

***

Entry 6:
## Mg2SiBi2 (GGA-PBE)

Data for a geometry-optimized Mg2SiBi2 structure.

Unit cell a=4.440 b=4.440 c=7.986 alpha=73.86 beta=73.86 gamma=90.00
Element x y z (fractional)
Bi (0.250, 0.750, 0.500)
Mg (0.405, 0.405, 0.190)
Mg (0.595, 0.595, 0.810)
Si (0.000, 0.000, 0.000)
Bi (0.750, 0.250, 0.500)

Properties
Its uncorrected formation energy is 0.4544 eV per atom. Its mass density is 5.67 g cm⁻³. The energy above the most stable polymorph in this dataset is 0.2883 eV per atom.